Record 1
DFT (PBE) results for a relaxed structure of KDyNiSe3.

Unit cell a=8.550 b=8.550 c=8.745 alpha=101.50 beta=101.50 gamma=28.53
Each line ends with the local moment (μB).
Sites, in units of the cell vectors:
Dy (0.832, 0.832, 0.410)  0.00
Dy (0.168, 0.168, 0.590)  0.00
K (0.145, 0.145, 0.074)  0.00
K (0.855, 0.855, 0.926)  0.00
Ni (0.501, 0.501, 0.296)  0.34
Ni (0.499, 0.499, 0.704)  0.34
Se (0.500, 0.500, 0.000)  0.04
Se (0.354, 0.354, 0.207)  0.01
Se (0.656, 0.656, 0.359)  0.01
Se (0.000, 0.000, 0.500)  0.07
Se (0.344, 0.344, 0.641)  0.01
Se (0.646, 0.646, 0.793)  0.01

Output
Its total magnetic moment is 0.9 μB/cell. The value obtained for the final energy is -4.6555 eV/atom. As for the symmetry: No. 12.



Record 2
DFT (PBE) results for a relaxed structure of KTbDyNi2.

Unit cell a=3.703 b=9.205 c=9.205 alpha=25.29 beta=90.00 gamma=90.00
Sites, in units of the cell vectors:
Dy (0.000, 0.331, 0.331)
K (0.500, 0.999, 0.999)
Ni (0.500, 0.208, 0.208)
Ni (0.500, 0.792, 0.792)
Tb (0.000, 0.669, 0.669)

Output
Its total magnetic moment is 0.0 μB/cell. The value obtained for the final energy is -4.4508 eV/atom. As for the symmetry: No. 38.



Record 3
DFT (PBE) results for a relaxed structure of KDyNiTe3.

Unit cell a=9.048 b=9.048 c=9.324 alpha=100.64 beta=100.64 gamma=28.82
Sites, in units of the cell vectors:
Dy (0.829, 0.829, 0.410)
Dy (0.171, 0.171, 0.590)
K (0.146, 0.146, 0.076)
K (0.854, 0.854, 0.924)
Ni (0.500, 0.500, 0.324)
Ni (0.500, 0.500, 0.676)
Te (0.500, 0.500, 0.000)
Te (0.355, 0.355, 0.204)
Te (0.652, 0.652, 0.357)
Te (0.000, 0.000, 0.500)
Te (0.348, 0.348, 0.643)
Te (0.645, 0.645, 0.796)

Output
Its total magnetic moment is 0.1 μB/cell. The value obtained for the final energy is -4.1977 eV/atom. As for the symmetry: No. 12.



Record 4
DFT (PBE) results for a relaxed structure of KDyNiTe3.

Unit cell a=9.668 b=4.273 c=10.173 alpha=90.00 beta=110.17 gamma=90.00
Sites, in units of the cell vectors:
Dy (0.321, 0.750, 0.360)
Dy (0.679, 0.250, 0.640)
K (0.785, 0.750, 0.248)
K (0.215, 0.250, 0.752)
Ni (0.098, 0.250, 0.117)
Ni (0.902, 0.750, 0.883)
Te (0.174, 0.750, 0.030)
Te (0.534, 0.250, 0.322)
Te (0.097, 0.250, 0.366)
Te (0.903, 0.750, 0.634)
Te (0.466, 0.750, 0.678)
Te (0.826, 0.250, 0.970)

Output
Its total magnetic moment is 0.0 μB/cell. The value obtained for the final energy is -4.3579 eV/atom. As for the symmetry: No. 11.



- What is the formula in the fourth record?
  KDyNiTe3



- Among the records above, which one has the highest total magnetic moment?
  KDyNiSe3



- Which of these has the highest total magnetic moment?
  KDyNiSe3



- Number 1 is which compound?
  KDyNiSe3